DFT (PBE) results for an optimized crystal structure of CaLa2P.

abc: 6.9529 6.9529 6.9529
angles: 148.07 133.53 57.49
Closest atoms and distances in Å follow each position.
Sites, in units of the cell vectors:
1 Ca 0.0000 0.0000 0.0000  4 P 3.34, 4 La 3.53
2 La 0.3183 0.8183 0.5000  2 P 2.93
3 La 0.6817 0.1817 0.5000  2 P 2.93
4 P 0.5000 0.5000 0.0000  4 La 2.93

Summary:
As for the density of states at the Fermi level: 1.1557 states/eV per atom. As for the magnetic moment: 0.00 μB per cell. As for the formation enthalpy at 0 K: -0.511 eV/atom.



DFT (PBE) results for an optimized crystal structure of RbHoSO.

abc: 3.7244 3.7244 7.6826
angles: 103.97 103.97 60.00
Closest atoms and distances in Å follow each position.
Sites, in units of the cell vectors:
1 Rb 0.0000 0.0000 0.0000  3 S 3.12, 3 O 3.28-3.29, 1 Ho 3.44
2 Ho 0.1560 0.1560 0.4658  3 O 2.35
3 S 0.5647 0.5647 0.6929  3 Ho 2.73
4 O 0.7796 0.7796 0.3363  3 Ho 2.35

Summary:
As for the density of states at the Fermi level: 0.0000 states/eV per atom. As for the magnetic moment: 0.00 μB per cell. The value obtained for the formation energy without anion corrections is -833.0 kJ/mol of formula units.



DFT (PBE) results for an optimized crystal structure of Re4AuSe7.

abc: 7.1674 6.0730 16.6110
angles: 90.00 115.33 90.00
Closest atoms and distances in Å follow each position.
Sites, in units of the cell vectors:
1 Re 0.0000 0.0945 0.0000  4 Se 2.41-2.48
2 Re 0.0000 0.9055 0.5000  4 Se 2.41-2.48
3 Re 0.0817 0.3106 0.5868  4 Se 2.33-2.53
4 Re 0.0817 0.6894 0.0868  4 Se 2.33-2.53
5 Re 0.6060 0.1876 0.8720  4 Se 2.43-2.51, 1 Re 2.66
6 Re 0.6060 0.8124 0.3720  4 Se 2.43-2.51, 1 Re 2.66
7 Re 0.6717 0.1975 0.4553  4 Se 2.44-2.55, 1 Re 2.66
8 Re 0.6717 0.8025 0.9553  4 Se 2.44-2.55, 1 Re 2.66
9 Au 0.4163 0.1821 0.2768  3 Se 2.54-2.62, 2 Re 2.74-2.75
10 Au 0.4163 0.8179 0.7768  3 Se 2.54-2.62, 2 Re 2.74-2.75
11 Se 0.2654 0.3225 0.1118  2 Re 2.44-2.53, 1 Au 2.62
12 Se 0.2654 0.6775 0.6118  2 Re 2.44-2.53, 1 Au 2.62
13 Se 0.3937 0.1937 0.7065  2 Re 2.38-2.51, 1 Au 2.54
14 Se 0.3937 0.8063 0.2065  2 Re 2.38-2.51, 1 Au 2.54
15 Se 0.4031 0.4852 0.3810  2 Re 2.50, 1 Au 2.56
16 Se 0.4031 0.5148 0.8810  2 Re 2.50, 1 Au 2.56
17 Se 0.7064 0.1518 0.0337  3 Re 2.42-2.48
18 Se 0.7064 0.8482 0.5337  3 Re 2.42-2.48
19 Se 0.7905 0.3302 0.6151  2 Re 2.33-2.55
20 Se 0.7905 0.6698 0.1151  2 Re 2.33-2.55
21 Se 0.9208 0.2327 0.8528  2 Re 2.41-2.43
22 Se 0.9208 0.7673 0.3528  2 Re 2.41-2.43
23 Se 0.9738 0.2677 0.4275  3 Re 2.43-2.48
24 Se 0.9738 0.7323 0.9275  3 Re 2.43-2.48

Summary:
As for the density of states at the Fermi level: 0.4201 states/eV per atom. As for the magnetic moment: 0.00 μB per cell. The value obtained for the formation energy without anion corrections is 100.5 kJ/mol of formula units.



DFT (PBE) results for an optimized crystal structure of SrSiNi2.

abc: 5.1326 5.1326 5.1326
angles: 134.14 134.14 66.87
Closest atoms and distances in Å follow each position.
Sites, in units of the cell vectors:
1 Sr 0.0000 0.0000 0.0000  8 Ni 2.83-2.93, 4 Si 2.93
2 Si 0.7500 0.2500 0.5000  8 Ni 2.83-2.93, 4 Sr 2.93
3 Ni 0.2500 0.7500 0.5000  4 Si 2.83, 4 Ni 2.93, 4 Sr 2.93
4 Ni 0.5000 0.5000 0.0000  4 Sr 2.83, 4 Si 2.93, 4 Ni 2.93

Summary:
As for the density of states at the Fermi level: 0.7557 states/eV per atom. As for the magnetic moment: 0.00 μB per cell. The value obtained for the formation energy without anion corrections is 123.6 kJ/mol of formula units.



DFT (PBE) results for an optimized crystal structure of Al3VCo.

abc: 4.3986 4.3986 4.3986
angles: 90.00 90.00 90.00
Closest atoms and distances in Å follow each position.
Sites, in units of the cell vectors:
1 Al 0.0000 0.0000 0.5000  2 Co 2.20
2 Al 0.0000 0.5000 0.0000  2 Co 2.20
3 Al 0.5000 0.0000 0.0000  2 Co 2.20
4 V 0.5000 0.5000 0.5000  12 Al 3.11
5 Co 0.0000 0.0000 0.0000  6 Al 2.20

Summary:
For the relative energy among the computed polymorphs, the calculation gives 0 meV/atom. As for the density of states at the Fermi level: 1.1060 states/eV per atom. As for the magnetic moment: 3.30 μB per cell. As for the formation enthalpy at 0 K: 0.222 eV/atom.



DFT (PBE) results for an optimized crystal structure of CoBrCl.

abc: 4.6958 4.6958 4.6958
angles: 60.00 60.00 60.00
Closest atoms and distances in Å follow each position.
Sites, in units of the cell vectors:
1 Co 0.0000 0.0000 0.0000  4 Br 2.88
2 Br 0.2500 0.2500 0.2500  4 Cl 2.88, 4 Co 2.88
3 Cl 0.5000 0.5000 0.5000  4 Br 2.88

Summary:
For the relative energy among the computed polymorphs, the calculation gives 1156 meV/atom. As for the density of states at the Fermi level: 0.5034 states/eV per atom. As for the magnetic moment: 3.00 μB per cell. The value obtained for the formation energy without anion corrections is 214.0 kJ/mol of formula units.